(1)
Here is MnCr2RuN after structural relaxation from Alexandria. Energies are from PBE.

Computed properties:
**Energy relative to the elements, uncorrected**: -194 meV per atom
**Uncorrected energy**: -46.99 eV/f.u.
**ρ**: 8.14 g/cm3
**Magnetization**: 0.19 Bohr magnetons per cell

Cell: 3.8297 3.8297 3.8133 Å, 90.00 90.00 90.00°
Closest atoms and distances in Å follow each position.
Element x y z (fractional)
Ru  0.5000  0.5000  0.5000  8 Cr 2.70, 4 Mn 2.71
N  0.0000  0.0000  0.0000  2 Mn 1.91, 4 Cr 1.91
Mn  0.0000  0.0000  0.5000  2 N 1.91
Cr  0.0000  0.5000  0.0000  2 N 1.91
Cr  0.5000  0.0000  0.0000  2 N 1.91

(2)
Here is MnCr2SbN after structural relaxation from Alexandria. Energies are from PBE.

Computed properties:
**Energy relative to the elements, uncorrected**: -123 meV per atom
**Uncorrected energy**: -41.48 eV/f.u.
**ρ**: 8.13 g/cm3
**Magnetization**: 2.47 Bohr magnetons per cell

Cell: 3.9352 3.9352 3.8852 Å, 90.00 90.00 90.00°
Closest atoms and distances in Å follow each position.
Element x y z (fractional)
Sb  0.5000  0.5000  0.5000  8 Cr 2.76, 4 Mn 2.78
N  0.0000  0.0000  0.0000  2 Mn 1.94, 4 Cr 1.97
Mn  0.0000  0.0000  0.5000  2 N 1.94
Cr  0.0000  0.5000  0.0000  2 N 1.97
Cr  0.5000  0.0000  0.0000  2 N 1.97

Q: Which of these has the highest energy relative to the elements, uncorrected?
A: MnCr2SbN